Model 1:
Below is a relaxed TaTl2P crystal, with properties calculated at the PBE level.

Geometry as CIF:
```
data_TaTl2P
_cell_length_a 3.330
_cell_length_b 3.330
_cell_length_c 8.297
_cell_angle_alpha 90.00
_cell_angle_beta 90.00
_cell_angle_gamma 90.00
_symmetry_space_group_name_H-M 'P 4 m m'
_symmetry_Int_Tables_number 99
loop_
_symmetry_equiv_pos_as_xyz
'x,y,z'
'-y,x,z'
'-x,-y,z'
'y,-x,z'
'-x,y,z'
'y,x,z'
'x,-y,z'
'-y,-x,z'
loop_
_atom_site_label
_atom_site_type_symbol
_atom_site_fract_x
_atom_site_fract_y
_atom_site_fract_z
Ta1 Ta 0.000 0.000 0.000
Tl1 Tl 0.000 0.000 0.602
Tl2 Tl 0.500 0.500 0.267
P1 P 0.500 0.500 0.890
```

***

Model 2:
Below is a relaxed TaTl2P crystal, with properties calculated at the PBE level.

Geometry as CIF:
```
data_TaTl2P
_cell_length_a 8.044
_cell_length_b 8.044
_cell_length_c 5.567
_cell_angle_alpha 90.00
_cell_angle_beta 90.00
_cell_angle_gamma 90.00
_symmetry_space_group_name_H-M 'I -4 2 d'
_symmetry_Int_Tables_number 122
_symmetry_space_group_name_Hall 'I -4 2bw'
loop_
_atom_site_label
_atom_site_type_symbol
_atom_site_fract_x
_atom_site_fract_y
_atom_site_fract_z
Ta1 Ta 0.000 0.000 0.000
Tl1 Tl 0.239 0.250 0.625
P1 P 0.000 0.000 0.500
```

***

model 1 ends up most stable, edging out the next structure by 879 meV per atom.

***

Model 1:
Below is a relaxed TaTl3P crystal, with properties calculated at the PBE level.

Geometry as CIF:
```
data_TaTl3P
_cell_length_a 5.502
_cell_length_b 5.502
_cell_length_c 5.502
_cell_angle_alpha 90.00
_cell_angle_beta 90.00
_cell_angle_gamma 90.00
_symmetry_space_group_name_H-M 'P m -3 m'
_symmetry_Int_Tables_number 221
_symmetry_space_group_name_Hall '-P 4 2 3'
loop_
_atom_site_label
_atom_site_type_symbol
_atom_site_fract_x
_atom_site_fract_y
_atom_site_fract_z
Ta1 Ta 0.000 0.000 0.000
Tl1 Tl 0.000 0.000 0.500
P1 P 0.500 0.500 0.500
```

***

Model 2:
Below is a relaxed TaTl3P crystal, with properties calculated at the PBE level.

Geometry as CIF:
```
data_TaTl3P
_cell_length_a 5.271
_cell_length_b 5.271
_cell_length_c 5.271
_cell_angle_alpha 90.00
_cell_angle_beta 90.00
_cell_angle_gamma 90.00
_symmetry_space_group_name_H-M 'P m -3 m'
_symmetry_Int_Tables_number 221
_symmetry_space_group_name_Hall '-P 4 2 3'
loop_
_atom_site_label
_atom_site_type_symbol
_atom_site_fract_x
_atom_site_fract_y
_atom_site_fract_z
Ta1 Ta 0.000 0.000 0.000
Tl1 Tl 0.000 0.500 0.500
P1 P 0.500 0.500 0.500
```

***

model 1 ends up most stable, edging out the next structure by 134 meV per atom.